## Tb3Pm4Er8 (PBE-GGA)

Data for a relaxed Tb3Pm4Er8 crystal.

Space-group type: R-3m, No. 166
DFT formation energy: 1.88 eV/f.u.
N(E_F): 1.468 states/eV/atom

a b c (Å): 6.932 6.932 12.417
angles (deg): 73.79 73.79 60.00
Fractional coordinates of all 15 atoms:
Er 0.752 0.250 0.748
Er 0.245 0.245 0.265
Tb 0.000 0.500 0.500
Tb 0.500 0.000 0.500
Pm 0.500 0.500 0.500
Er 0.750 0.248 0.252
Er 0.755 0.755 0.735
Er 0.248 0.750 0.252
Er 0.250 0.752 0.748
Pm 0.663 0.663 0.010
Er 0.250 0.250 0.748
Tb 0.000 0.000 0.500
Pm 0.337 0.337 0.990
Er 0.750 0.750 0.252
Pm 0.000 0.000 0.000